YTm2Pt: optimized geometry, GGA-PBE. Values from VASP.

Structure (Quantum ESPRESSO input):
```
&SYSTEM
  ibrav = 0, nat = 16, ntyp = 3
/
ATOMIC_SPECIES
Y 88.91 Y.upf
Tm 168.93 Tm.upf
Pt 195.08 Pt.upf
CELL_PARAMETERS angstrom
7.028 0.000 0.000
0.000 9.430 0.000
0.000 0.000 6.443
ATOMIC_POSITIONS angstrom
Y 0.159 2.358 0.814
Y 3.355 7.073 4.035
Y 3.673 2.358 2.407
Y 6.869 7.073 5.629
Tm 1.264 0.575 4.370
Tm 1.264 4.141 4.370
Tm 2.250 5.290 1.148
Tm 2.250 8.856 1.148
Tm 4.778 0.575 5.294
Tm 4.778 4.141 5.294
Tm 5.764 5.290 2.073
Tm 5.764 8.856 2.073
Pt 0.776 7.073 2.870
Pt 2.738 2.358 6.091
Pt 4.290 7.073 0.351
Pt 6.252 2.358 3.573
```

## Properties
Its formation energy is -0.74 eV per atom. The calculation puts the offset from the most stable computed form at 0.000 eV/atom.

YTm2Pt9: optimized geometry, GGA-PBE. Values from VASP.

Structure (Quantum ESPRESSO input):
```
&SYSTEM
  ibrav = 0, nat = 12, ntyp = 3
/
ATOMIC_SPECIES
Y 88.91 Y.upf
Tm 168.93 Tm.upf
Pt 195.08 Pt.upf
CELL_PARAMETERS angstrom
4.103 0.000 0.000
0.000 4.103 0.000
0.000 0.000 12.307
ATOMIC_POSITIONS angstrom
Y 0.000 0.000 0.000
Tm 0.000 0.000 4.114
Tm 0.000 0.000 8.194
Pt 0.000 2.051 2.082
Pt 0.000 2.051 6.154
Pt 0.000 2.051 10.225
Pt 2.051 0.000 2.082
Pt 2.051 0.000 6.154
Pt 2.051 0.000 10.225
Pt 2.051 2.051 0.000
Pt 2.051 2.051 4.117
Pt 2.051 2.051 8.190
```

## Properties
Its formation energy is -1.06 eV per atom.

YTmPt: optimized geometry, GGA-PBE. Values from VASP.

Structure (Quantum ESPRESSO input):
```
&SYSTEM
  ibrav = 0, nat = 3, ntyp = 3
/
ATOMIC_SPECIES
Y 88.91 Y.upf
Tm 168.93 Tm.upf
Pt 195.08 Pt.upf
CELL_PARAMETERS angstrom
4.087 0.000 0.000
-2.043 3.539 0.000
0.000 0.000 6.105
ATOMIC_POSITIONS angstrom
Y 0.000 0.000 0.000
Tm 0.000 2.360 3.128
Pt 2.043 1.180 4.557
```

## Properties
Its formation energy is -0.77 eV per atom. The calculation puts the offset from the most stable computed form at 0.119 eV/atom.

YTm4Pt2: optimized geometry, GGA-PBE. Values from VASP.

Structure (Quantum ESPRESSO input):
```
&SYSTEM
  ibrav = 0, nat = 14, ntyp = 3
/
ATOMIC_SPECIES
Y 88.91 Y.upf
Tm 168.93 Tm.upf
Pt 195.08 Pt.upf
CELL_PARAMETERS angstrom
7.748 0.000 0.000
0.000 6.293 0.000
-3.019 0.000 7.354
ATOMIC_POSITIONS angstrom
Y 1.115 1.573 0.159
Y 3.614 4.720 7.195
Tm -1.041 1.573 2.849
Tm 0.906 4.720 2.542
Tm 0.863 0.023 5.643
Tm 0.863 3.124 5.643
Tm 3.866 3.170 1.712
Tm 3.866 6.270 1.712
Tm 3.823 1.573 4.812
Tm 5.770 4.720 4.505
Pt -1.033 4.720 7.284
Pt 1.667 1.573 3.065
Pt 3.062 4.720 4.289
Pt 5.762 1.573 0.070
```

## Properties
Its formation energy is -0.74 eV per atom.

YTmPt: optimized geometry, GGA-PBE. Values from VASP.

Structure (Quantum ESPRESSO input):
```
&SYSTEM
  ibrav = 0, nat = 6, ntyp = 3
/
ATOMIC_SPECIES
Y 88.91 Y.upf
Tm 168.93 Tm.upf
Pt 195.08 Pt.upf
CELL_PARAMETERS angstrom
-2.010 2.010 10.016
2.010 -2.010 10.016
2.010 2.010 -10.016
ATOMIC_POSITIONS angstrom
Y 0.000 0.000 0.000
Y 0.000 2.010 5.008
Tm 2.010 0.000 2.804
Tm 0.000 0.000 7.812
Pt 2.010 0.000 5.715
Pt 0.000 0.000 10.723
```

## Properties
Its formation energy is -0.76 eV per atom. The calculation puts the offset from the most stable computed form at 0.125 eV/atom.

Y3TmPt12: optimized geometry, GGA-PBE. Values from VASP.

Structure (Quantum ESPRESSO input):
```
&SYSTEM
  ibrav = 0, nat = 16, ntyp = 3
/
ATOMIC_SPECIES
Y 88.91 Y.upf
Tm 168.93 Tm.upf
Pt 195.08 Pt.upf
CELL_PARAMETERS angstrom
4.125 0.000 0.000
0.000 4.125 0.000
0.000 0.000 16.427
ATOMIC_POSITIONS angstrom
Y 0.000 0.000 0.000
Y 0.000 0.000 4.124
Y 0.000 0.000 12.303
Tm 0.000 0.000 8.214
Pt 0.000 2.063 2.063
Pt 0.000 2.063 6.195
Pt 0.000 2.063 10.232
Pt 0.000 2.063 14.364
Pt 2.063 0.000 2.063
Pt 2.063 0.000 6.195
Pt 2.063 0.000 10.232
Pt 2.063 0.000 14.364
Pt 2.063 2.063 0.000
Pt 2.063 2.063 4.127
Pt 2.063 2.063 8.214
Pt 2.063 2.063 12.300
```

## Properties
Its formation energy is -1.02 eV per atom.